VInO4: relaxed, GGA+U.

POSCAR file:
```
VInO4
1.0
-0.4431 3.9397 -2.5466
1.4044 -2.5453 -4.1821
-5.6720 -1.3415 -1.0883
V In O
2 2 8
direct
0.0000 0.0000 0.8041
0.5000 0.0000 0.3041
0.0000 0.5000 0.1772
0.5000 0.5000 0.6772
0.2566 0.8527 0.1214
0.1987 0.2972 0.8880
0.3013 0.2972 0.3880
0.2434 0.8527 0.6214
0.6987 0.7028 0.3880
0.7566 0.1473 0.6214
0.7434 0.1473 0.1214
0.8013 0.7028 0.8880
```

Output
Density of states at the Fermi level ... 0.000 states/eV per atom
VASP energy ... -6.69 eV per atom
Size of the total moment ... 0.000 μB/atom